# 1
DFT (PBE) results for an optimized crystal structure of Tb6Sm2Dy3Zr.

Cell and atoms, written as CIF:
```
data_Tb6Sm2Dy3Zr
_symmetry_space_group_name_H-M 'P 1'
_symmetry_Int_Tables_number 1
_cell_length_a 6.115
_cell_length_b 6.115
_cell_length_c 11.697
_cell_angle_alpha 94.96
_cell_angle_beta 94.96
_cell_angle_gamma 119.92
loop_
_symmetry_equiv_pos_as_xyz
'x,y,z'
loop_
_atom_site_label
_atom_site_fract_x
_atom_site_fract_y
_atom_site_fract_z
Tb1 0.918 0.591 0.753
Tb2 0.756 0.756 0.246
Tb3 0.082 0.409 0.247
Tb4 0.591 0.918 0.753
Tb5 0.244 0.244 0.754
Tb6 0.409 0.082 0.247
Sm1 0.333 0.667 0.000
Sm2 0.667 0.333 0.000
Dy1 0.166 0.834 0.500
Dy2 0.834 0.166 0.500
Dy3 0.500 0.500 0.500
Zr1 0.000 0.000 0.000
```

Results
Symmetry ... No. 12
Formation energy from the elements ... 0.58 eV per formula unit
DOS(E_F) ... 14.801 states/eV/cell
V ... 31.11 A^3/atom

***

# 2
DFT (PBE) results for an optimized crystal structure of SmDyTc4.

Cell and atoms, written as CIF:
```
data_SmDyTc4
_symmetry_space_group_name_H-M 'P 1'
_symmetry_Int_Tables_number 1
_cell_length_a 5.433
_cell_length_b 5.433
_cell_length_c 5.433
_cell_angle_alpha 60.00
_cell_angle_beta 60.00
_cell_angle_gamma 60.00
loop_
_symmetry_equiv_pos_as_xyz
'x,y,z'
loop_
_atom_site_label
_atom_site_fract_x
_atom_site_fract_y
_atom_site_fract_z
Tc1 0.625 0.625 0.125
Tc2 0.625 0.125 0.625
Tc3 0.625 0.625 0.625
Tc4 0.125 0.625 0.625
Sm1 0.250 0.250 0.250
Dy1 0.000 0.000 0.000
```

Results
Symmetry ... No. 216
Formation energy from the elements ... -0.45 eV per formula unit
DOS(E_F) ... 9.102 states/eV/cell
V ... 18.90 A^3/atom

***

# 3
DFT (PBE) results for an optimized crystal structure of Sm3DyTc8.

Cell and atoms, written as CIF:
```
data_Sm3DyTc8
_symmetry_space_group_name_H-M 'P 1'
_symmetry_Int_Tables_number 1
_cell_length_a 5.417
_cell_length_b 5.417
_cell_length_c 9.520
_cell_angle_alpha 73.47
_cell_angle_beta 73.47
_cell_angle_gamma 60.00
loop_
_symmetry_equiv_pos_as_xyz
'x,y,z'
loop_
_atom_site_label
_atom_site_fract_x
_atom_site_fract_y
_atom_site_fract_z
Sm1 0.375 0.375 0.876
Sm2 0.000 0.000 0.000
Sm3 0.500 0.500 0.500
Dy1 0.875 0.875 0.374
Tc1 0.936 0.437 0.190
Tc2 0.439 0.938 0.685
Tc3 0.437 0.437 0.190
Tc4 0.938 0.938 0.685
Tc5 0.188 0.188 0.437
Tc6 0.687 0.687 0.938
Tc7 0.437 0.936 0.190
Tc8 0.938 0.439 0.685
```

Results
Symmetry ... No. 160
Formation energy from the elements ... -0.56 eV per formula unit
DOS(E_F) ... 16.625 states/eV/cell
V ... 19.04 A^3/atom

***

# 4
DFT (PBE) results for an optimized crystal structure of SmDy2Tc.

Cell and atoms, written as CIF:
```
data_SmDy2Tc
_symmetry_space_group_name_H-M 'P 1'
_symmetry_Int_Tables_number 1
_cell_length_a 3.455
_cell_length_b 3.455
_cell_length_c 9.031
_cell_angle_alpha 90.00
_cell_angle_beta 90.00
_cell_angle_gamma 90.00
loop_
_symmetry_equiv_pos_as_xyz
'x,y,z'
loop_
_atom_site_label
_atom_site_fract_x
_atom_site_fract_y
_atom_site_fract_z
Tc1 0.500 0.500 0.000
Sm1 0.500 0.500 0.500
Dy1 0.000 0.000 0.818
Dy2 0.000 0.000 0.182
```

Results
Symmetry ... No. 123
Formation energy from the elements ... 0.09 eV per formula unit
DOS(E_F) ... 6.901 states/eV/cell
V ... 26.96 A^3/atom
Energy relative to the lowest polymorph listed for this composition ... 97.1 meV/atom

***

# 5
DFT (PBE) results for an optimized crystal structure of Sm3DyTc.

Cell and atoms, written as CIF:
```
data_Sm3DyTc
_symmetry_space_group_name_H-M 'P 1'
_symmetry_Int_Tables_number 1
_cell_length_a 5.458
_cell_length_b 5.458
_cell_length_c 5.458
_cell_angle_alpha 90.00
_cell_angle_beta 90.00
_cell_angle_gamma 90.00
loop_
_symmetry_equiv_pos_as_xyz
'x,y,z'
loop_
_atom_site_label
_atom_site_fract_x
_atom_site_fract_y
_atom_site_fract_z
Tc1 0.000 0.000 0.000
Sm1 0.000 0.500 0.000
Sm2 0.000 0.000 0.500
Sm3 0.500 0.000 0.000
Dy1 0.500 0.500 0.500
```

Results
Symmetry ... No. 221
Formation energy from the elements ... 1.00 eV per formula unit
DOS(E_F) ... 8.093 states/eV/cell
V ... 32.51 A^3/atom
Energy relative to the lowest polymorph listed for this composition ... 211.7 meV/atom

***

# 6
DFT (PBE) results for an optimized crystal structure of SmDy2Tc.

Cell and atoms, written as CIF:
```
data_SmDy2Tc
_symmetry_space_group_name_H-M 'P 1'
_symmetry_Int_Tables_number 1
_cell_length_a 3.427
_cell_length_b 3.427
_cell_length_c 11.211
_cell_angle_alpha 81.21
_cell_angle_beta 81.21
_cell_angle_gamma 60.00
loop_
_symmetry_equiv_pos_as_xyz
'x,y,z'
loop_
_atom_site_label
_atom_site_fract_x
_atom_site_fract_y
_atom_site_fract_z
Tc1 0.500 0.500 0.500
Sm1 0.000 0.000 0.000
Dy1 0.106 0.106 0.683
Dy2 0.894 0.894 0.317
```

Results
Symmetry ... No. 166
Formation energy from the elements ... 1.06 eV per formula unit
DOS(E_F) ... 5.394 states/eV/cell
V ... 28.06 A^3/atom
Energy relative to the lowest polymorph listed for this composition ... 340.7 meV/atom

***

# 7
DFT (PBE) results for an optimized crystal structure of Sm2Dy8Tc.

Cell and atoms, written as CIF:
```
data_Sm2Dy8Tc
_symmetry_space_group_name_H-M 'P 1'
_symmetry_Int_Tables_number 1
_cell_length_a 5.482
_cell_length_b 6.569
_cell_length_c 9.607
_cell_angle_alpha 88.90
_cell_angle_beta 106.58
_cell_angle_gamma 90.00
loop_
_symmetry_equiv_pos_as_xyz
'x,y,z'
loop_
_atom_site_label
_atom_site_fract_x
_atom_site_fract_y
_atom_site_fract_z
Sm1 0.768 0.668 0.536
Sm2 0.232 0.332 0.464
Dy1 0.422 0.373 0.845
Dy2 0.645 0.125 0.289
Dy3 0.841 0.169 0.682
Dy4 0.965 0.763 0.929
Dy5 0.159 0.831 0.318
Dy6 0.355 0.875 0.711
Dy7 0.578 0.627 0.155
Dy8 0.035 0.237 0.071
Tc1 0.500 0.000 0.000
```

Results
Symmetry ... No. 12
Formation energy from the elements ... 0.28 eV per formula unit
DOS(E_F) ... 16.787 states/eV/cell
V ... 30.13 A^3/atom

***

# 8
DFT (PBE) results for an optimized crystal structure of Sm2DyTc9.

Cell and atoms, written as CIF:
```
data_Sm2DyTc9
_symmetry_space_group_name_H-M 'P 1'
_symmetry_Int_Tables_number 1
_cell_length_a 5.371
_cell_length_b 5.371
_cell_length_c 9.337
_cell_angle_alpha 73.29
_cell_angle_beta 73.29
_cell_angle_gamma 60.00
loop_
_symmetry_equiv_pos_as_xyz
'x,y,z'
loop_
_atom_site_label
_atom_site_fract_x
_atom_site_fract_y
_atom_site_fract_z
Sm1 0.856 0.856 0.432
Sm2 0.144 0.144 0.568
Dy1 0.000 0.000 0.000
Tc1 0.662 0.662 0.013
Tc2 0.338 0.338 0.987
Tc3 0.500 0.500 0.500
Tc4 0.414 0.414 0.246
Tc5 0.926 0.414 0.246
Tc6 0.414 0.926 0.246
Tc7 0.586 0.586 0.754
Tc8 0.586 0.074 0.754
Tc9 0.074 0.586 0.754
```

Results
Symmetry ... No. 166
Formation energy from the elements ... 0.24 eV per formula unit
DOS(E_F) ... 15.202 states/eV/cell
V ... 18.33 A^3/atom

***

# 9
DFT (PBE) results for an optimized crystal structure of Sm3DyTc.

Cell and atoms, written as CIF:
```
data_Sm3DyTc
_symmetry_space_group_name_H-M 'P 1'
_symmetry_Int_Tables_number 1
_cell_length_a 3.963
_cell_length_b 6.432
_cell_length_c 12.283
_cell_angle_alpha 82.01
_cell_angle_beta 80.72
_cell_angle_gamma 72.06
loop_
_symmetry_equiv_pos_as_xyz
'x,y,z'
loop_
_atom_site_label
_atom_site_fract_x
_atom_site_fract_y
_atom_site_fract_z
Sm1 0.453 0.946 0.149
Sm2 0.761 0.717 0.761
Sm3 0.096 0.186 0.623
Sm4 0.986 0.125 0.903
Sm5 0.782 0.050 0.387
Sm6 0.427 0.628 0.517
Dy1 0.115 0.488 0.282
Dy2 0.232 0.529 0.007
Tc1 0.785 0.279 0.150
Tc2 0.424 0.389 0.763
```

Results
Symmetry ... No. 8
Formation energy from the elements ... -0.05 eV per formula unit
DOS(E_F) ... 9.520 states/eV/cell
V ... 29.26 A^3/atom
Energy relative to the lowest polymorph listed for this composition ... 0.0 meV/atom

***

# 10
DFT (PBE) results for an optimized crystal structure of SmDyTc.

Cell and atoms, written as CIF:
```
data_SmDyTc
_symmetry_space_group_name_H-M 'P 1'
_symmetry_Int_Tables_number 1
_cell_length_a 3.986
_cell_length_b 4.449
_cell_length_c 9.516
_cell_angle_alpha 76.48
_cell_angle_beta 90.00
_cell_angle_gamma 90.00
loop_
_symmetry_equiv_pos_as_xyz
'x,y,z'
loop_
_atom_site_label
_atom_site_fract_x
_atom_site_fract_y
_atom_site_fract_z
Dy1 0.250 0.081 0.837
Dy2 0.750 0.919 0.163
Tc1 0.250 0.464 0.071
Tc2 0.750 0.536 0.929
Sm1 0.750 0.696 0.609
Sm2 0.250 0.304 0.391
```

Results
Symmetry ... No. 63
Formation energy from the elements ... 0.05 eV per formula unit
DOS(E_F) ... 6.334 states/eV/cell
V ... 27.34 A^3/atom
Energy relative to the lowest polymorph listed for this composition ... 5.9 meV/atom

***

# 11
DFT (PBE) results for an optimized crystal structure of SmDyTc.

Cell and atoms, written as CIF:
```
data_SmDyTc
_symmetry_space_group_name_H-M 'P 1'
_symmetry_Int_Tables_number 1
_cell_length_a 3.492
_cell_length_b 3.492
_cell_length_c 6.815
_cell_angle_alpha 104.84
_cell_angle_beta 104.84
_cell_angle_gamma 90.00
loop_
_symmetry_equiv_pos_as_xyz
'x,y,z'
loop_
_atom_site_label
_atom_site_fract_x
_atom_site_fract_y
_atom_site_fract_z
Tc1 0.669 0.669 0.338
Sm1 0.036 0.036 0.072
Dy1 0.295 0.295 0.590
```

Results
Symmetry ... No. 107
Formation energy from the elements ... 0.03 eV per formula unit
DOS(E_F) ... 4.002 states/eV/cell
V ... 25.81 A^3/atom
Energy relative to the lowest polymorph listed for this composition ... 0.0 meV/atom

***

# 12
DFT (PBE) results for an optimized crystal structure of SmDy2Tc.

Cell and atoms, written as CIF:
```
data_SmDy2Tc
_symmetry_space_group_name_H-M 'P 1'
_symmetry_Int_Tables_number 1
_cell_length_a 6.326
_cell_length_b 7.473
_cell_length_c 9.205
_cell_angle_alpha 90.00
_cell_angle_beta 90.00
_cell_angle_gamma 90.00
loop_
_symmetry_equiv_pos_as_xyz
'x,y,z'
loop_
_atom_site_label
_atom_site_fract_x
_atom_site_fract_y
_atom_site_fract_z
Sm1 0.627 0.543 0.250
Sm2 0.873 0.043 0.250
Sm3 0.373 0.457 0.750
Sm4 0.127 0.957 0.750
Dy1 0.159 0.676 0.064
Dy2 0.341 0.176 0.436
Dy3 0.841 0.324 0.564
Dy4 0.659 0.824 0.936
Dy5 0.841 0.324 0.936
Dy6 0.659 0.824 0.564
Dy7 0.159 0.676 0.436
Dy8 0.341 0.176 0.064
Tc1 0.043 0.385 0.250
Tc2 0.457 0.885 0.250
Tc3 0.957 0.615 0.750
Tc4 0.543 0.115 0.750
```

Results
Symmetry ... No. 62
Formation energy from the elements ... -0.30 eV per formula unit
DOS(E_F) ... 13.755 states/eV/cell
V ... 27.20 A^3/atom
Energy relative to the lowest polymorph listed for this composition ... 0.0 meV/atom

***

Among the records above, which one has the highest DOS(E_F)? Sm2Dy8Tc